This record from Alexandria describes a geometry-optimized TbMg4Hg5 structure. The functional is PBE.

Summary:
**E**: -15.393 eV for the cell shown
**M_tot**: 0.17 μB per formula unit
**Theoretical density**: 9.4 g/cm3
**Formation energy from the elements**: -288 meV/atom

a b c (Å): 3.5921 3.5921 17.2532
angles (deg): 90.00 90.00 90.00
With the nearest neighbours (Å) after each atom.
Space group P4/mmm (No. 123)
Unique sites:
Tb: 0.0000 0.0000 0.0000 [1 per cell]  8 Hg 3.20
Mg: 0.0000 0.0000 0.2099 [2 per cell]  8 Hg 3.04, 1 Mg 3.34
Mg: 0.0000 0.0000 0.4034 [2 per cell]  8 Hg 3.04, 2 Mg 3.33-3.34
Hg: 0.5000 0.5000 0.1127 [2 per cell]  4 Mg 3.04, 4 Tb 3.20, 1 Hg 3.34
Hg: 0.5000 0.5000 0.3063 [2 per cell]  8 Mg 3.04, 2 Hg 3.34
Hg: 0.5000 0.5000 0.5000 [1 per cell]  8 Mg 3.04, 2 Hg 3.34

This record from Alexandria describes a geometry-optimized ScBiIO2 structure. The functional is PBE.

Summary:
**E**: -23.236 eV for the cell shown
**M_tot**: 1.13 μB per formula unit
**Theoretical density**: 5.6 g/cm3
**Formation energy (no corrections)**: -7.18 kcal/mol of atoms

a b c (Å): 4.3854 4.3854 6.3137
angles (deg): 90.00 90.00 90.00
With the nearest neighbours (Å) after each atom.
Space group P4/mmm (No. 123)
Unique sites:
Sc: 0.0000 0.0000 0.0000 [1 per cell]  4 I 3.10
Bi: 0.5000 0.5000 0.5000 [1 per cell]  4 O 2.19
I: 0.5000 0.5000 0.0000 [1 per cell]  4 Sc 3.10, 2 Bi 3.16
O: 0.0000 0.5000 0.5000 [2 per cell]  2 Bi 2.19